{
  "formula": "ErInAsO",
  "functional": "GGA-PBE",
  "state": "relaxed",
  "cell": [[5.456, 0.000, 0.000], [0.000, 5.990, 0.000], [0.000, 0.000, 5.767]],
  "species": ["Er", "Er", "In", "In", "As", "As", "O", "O"],
  "frac_coords": [[0.000, 0.181, 0.000], [0.000, 0.819, 0.500], [0.500, 0.228, 0.401], [0.500, 0.772, 0.901], [0.500, 0.277, 0.892], [0.500, 0.723, 0.392], [0.000, 0.137, 0.357], [0.000, 0.863, 0.857]],
  "energy_ev_per_atom": -5.620
}

***

{
  "formula": "TmAsS",
  "functional": "GGA-PBE",
  "state": "relaxed",
  "cell": [[3.788, 0.000, 0.000], [0.000, 16.757, 0.000], [-3.782, 0.000, 3.806]],
  "species": ["Tm", "Tm", "Tm", "Tm", "As", "As", "As", "As", "S", "S", "S", "S"],
  "frac_coords": [[0.015, 0.146, 0.265], [0.015, 0.354, 0.765], [0.985, 0.646, 0.235], [0.985, 0.854, 0.735], [0.477, 0.501, 0.726], [0.477, 0.999, 0.226], [0.523, 0.001, 0.774], [0.523, 0.499, 0.274], [0.013, 0.187, 0.763], [0.013, 0.313, 0.263], [0.987, 0.687, 0.737], [0.987, 0.813, 0.237]],
  "energy_ev_per_atom": -5.950
}

***

{
  "formula": "Sm3CdHg5",
  "functional": "GGA-PBE",
  "state": "relaxed",
  "cell": [[9.121, 0.000, 0.000], [-4.560, 7.899, 0.000], [0.000, 0.000, 6.420]],
  "species": ["Sm", "Sm", "Sm", "Sm", "Sm", "Sm", "Cd", "Cd", "Hg", "Hg", "Hg", "Hg", "Hg", "Hg", "Hg", "Hg", "Hg", "Hg"],
  "frac_coords": [[0.000, 0.348, 0.250], [0.000, 0.652, 0.750], [0.348, 0.000, 0.250], [0.348, 0.348, 0.750], [0.652, 0.000, 0.750], [0.652, 0.652, 0.250], [0.000, 0.000, 0.000], [0.000, 0.000, 0.500], [0.000, 0.316, 0.750], [0.000, 0.684, 0.250], [0.316, 0.000, 0.750], [0.316, 0.316, 0.250], [0.333, 0.667, 0.000], [0.333, 0.667, 0.500], [0.667, 0.333, 0.000], [0.667, 0.333, 0.500], [0.684, 0.000, 0.250], [0.684, 0.684, 0.750]],
  "energy_ev_per_atom": -2.277
}

***

{
  "formula": "BeB2Mo",
  "functional": "GGA-PBE",
  "state": "relaxed",
  "cell": [[0.000, 2.623, 2.623], [2.623, 0.000, 2.623], [2.623, 2.623, 0.000]],
  "species": ["Be", "B", "B", "Mo"],
  "frac_coords": [[0.000, 0.000, 0.000], [0.500, 0.500, 0.500], [0.750, 0.750, 0.750], [0.250, 0.250, 0.250]],
  "energy_ev_per_atom": -6.046
}

***

{
  "formula": "HoZrTlTe3",
  "functional": "GGA-PBE",
  "state": "relaxed",
  "cell": [[2.068, -7.690, 0.000], [2.068, 7.690, 0.000], [0.000, 0.000, 11.721]],
  "species": ["Ho", "Ho", "Zr", "Zr", "Tl", "Tl", "Te", "Te", "Te", "Te", "Te", "Te"],
  "frac_coords": [[0.000, 0.000, 0.000], [0.000, 0.000, 0.500], [0.429, 0.571, 0.750], [0.571, 0.429, 0.250], [0.239, 0.761, 0.250], [0.761, 0.239, 0.750], [0.063, 0.937, 0.750], [0.355, 0.645, 0.528], [0.355, 0.645, 0.972], [0.645, 0.355, 0.028], [0.645, 0.355, 0.472], [0.937, 0.063, 0.250]],
  "energy_ev_per_atom": -4.953
}

***

{
  "formula": "HfCuSiPt",
  "functional": "GGA-PBE",
  "state": "relaxed",
  "cell": [[0.000, 3.159, 3.159], [3.159, 0.000, 3.159], [3.159, 3.159, 0.000]],
  "species": ["Hf", "Cu", "Si", "Pt"],
  "frac_coords": [[0.000, 0.000, 0.000], [0.500, 0.500, 0.500], [0.250, 0.250, 0.250], [0.750, 0.750, 0.750]],
  "energy_ev_per_atom": -6.743
}

***

{
  "formula": "NiOs3S6",
  "functional": "GGA-PBE",
  "state": "relaxed",
  "cell": [[3.057, 1.765, 5.119], [-3.057, 1.765, 5.119], [0.000, -3.530, 5.119]],
  "species": ["Ni", "Os", "Os", "Os", "S", "S", "S", "S", "S", "S"],
  "frac_coords": [[0.000, 0.000, 0.000], [0.177, 0.177, 0.177], [0.500, 0.500, 0.500], [0.823, 0.823, 0.823], [0.092, 0.413, 0.756], [0.244, 0.908, 0.587], [0.413, 0.756, 0.092], [0.587, 0.244, 0.908], [0.756, 0.092, 0.413], [0.908, 0.587, 0.244]],
  "energy_ev_per_atom": -6.453
}

***

{
  "formula": "LuAlCoNi",
  "functional": "GGA-PBE",
  "state": "relaxed",
  "cell": [[0.000, 3.127, 3.127], [3.127, 0.000, 3.127], [3.127, 3.127, 0.000]],
  "species": ["Lu", "Al", "Co", "Ni"],
  "frac_coords": [[0.000, 0.000, 0.000], [0.250, 0.250, 0.250], [0.500, 0.500, 0.500], [0.750, 0.750, 0.750]],
  "energy_ev_per_atom": -5.309
}